LaCe2As after structural relaxation, computed with PBE.

```
data_LaCe2As
_chemical_formula_sum 'La3 Ce6 As3'
_cell_length_a 3.9281
_cell_length_b 3.9281
_cell_length_c 28.3532
_cell_angle_alpha 90.00
_cell_angle_beta 90.00
_cell_angle_gamma 120.00
_symmetry_space_group_name_H-M 'R 3 m'
_symmetry_Int_Tables_number 160
_symmetry_space_group_name_Hall 'R 3 -2"'
loop_
_atom_site_label
_atom_site_type_symbol
_atom_site_fract_x
_atom_site_fract_y
_atom_site_fract_z
La1 La 0.0000 0.0000 0.0000
Ce1 Ce 0.0000 0.0000 0.5635
Ce2 Ce 0.0000 0.0000 0.7691
As1 As 0.0000 0.0000 0.1664
```

VASP energy in eV per atom: -5.86
ΔE to the lowest computed polymorph in meV/atom: 0
Energy relative to the elements in eV per atom: -0.5000

***

Tb2Sm3Dy6Sc after structural relaxation, computed with PBE.

```
data_Tb2Sm3Dy6Sc
_chemical_formula_sum 'Tb4 Sm6 Dy12 Sc2'
_cell_length_a 6.140
_cell_length_b 10.633
_cell_length_c 11.744
_cell_angle_alpha 90.00
_cell_angle_beta 100.02
_cell_angle_gamma 90.00
_symmetry_space_group_name_H-M 'C 1 2/m 1'
_symmetry_Int_Tables_number 12
loop_
_symmetry_equiv_pos_as_xyz
'x,y,z'
'-x,-y,-z'
'-x,y,-z'
'x,-y,z'
'x+1/2,y+1/2,z'
'-x+1/2,-y+1/2,-z'
'-x+1/2,y+1/2,-z'
'x+1/2,-y+1/2,z'
loop_
_atom_site_label
_atom_site_type_symbol
_atom_site_fract_x
_atom_site_fract_y
_atom_site_fract_z
Tb1 Tb 0.000 0.166 0.000
Sm1 Sm 0.000 0.000 0.500
Sm2 Sm 0.000 0.334 0.500
Dy1 Dy 0.247 0.335 0.246
Dy2 Dy 0.249 0.500 0.754
Sc1 Sc 0.000 0.500 0.000
```

VASP energy in eV per atom: -4.75
Energy relative to the elements in eV per atom: 0.0259

***

CsNa2Sr2 after structural relaxation, computed with PBE.

```
data_CsNa2Sr2
_chemical_formula_sum 'Cs2 Na4 Sr4'
_cell_length_a 11.430
_cell_length_b 11.430
_cell_length_c 4.327
_cell_angle_alpha 90.00
_cell_angle_beta 90.00
_cell_angle_gamma 90.00
_symmetry_space_group_name_H-M 'P 4/m b m'
_symmetry_Int_Tables_number 127
_symmetry_space_group_name_Hall '-P 4 2ab'
loop_
_atom_site_label
_atom_site_type_symbol
_atom_site_fract_x
_atom_site_fract_y
_atom_site_fract_z
Cs1 Cs 0.000 0.000 0.000
Na1 Na 0.159 0.341 0.000
Sr1 Sr 0.131 0.631 0.500
```

VASP energy in eV per atom: -1.28
ΔE to the lowest computed polymorph in meV/atom: 0
Energy relative to the elements in eV per atom: 0.0910

***

Y3AsPbO after structural relaxation, computed with PBE.

```
data_Y3AsPbO
_chemical_formula_sum 'Y6 As2 Pb2 O2'
_cell_length_a 8.952
_cell_length_b 4.050
_cell_length_c 8.973
_cell_angle_alpha 90.00
_cell_angle_beta 102.22
_cell_angle_gamma 90.00
_symmetry_space_group_name_H-M 'P 1 21/m 1'
_symmetry_Int_Tables_number 11
loop_
_symmetry_equiv_pos_as_xyz
'x,y,z'
'-x,-y,-z'
'-x,y+1/2,-z'
'x,-y+1/2,z'
loop_
_atom_site_label
_atom_site_type_symbol
_atom_site_fract_x
_atom_site_fract_y
_atom_site_fract_z
Y1 Y 0.076 0.250 0.341
Y2 Y 0.341 0.250 0.985
Y3 Y 0.383 0.750 0.652
As1 As 0.152 0.250 0.668
Pb1 Pb 0.324 0.750 0.279
O1 O 0.411 0.750 0.907
```

VASP energy in eV per atom: -7.11
Energy relative to the elements, uncorrected in meV/atom: -1658

***

Pr3NdEr6Tm2 after structural relaxation, computed with PBE.

```
data_Pr3NdEr6Tm2
_chemical_formula_sum 'Pr6 Nd2 Er12 Tm4'
_cell_length_a 6.192
_cell_length_b 10.721
_cell_length_c 11.776
_cell_angle_alpha 90.00
_cell_angle_beta 100.07
_cell_angle_gamma 90.00
_symmetry_space_group_name_H-M 'C 1 2/m 1'
_symmetry_Int_Tables_number 12
loop_
_symmetry_equiv_pos_as_xyz
'x,y,z'
'-x,-y,-z'
'-x,y,-z'
'x,-y,z'
'x+1/2,y+1/2,z'
'-x+1/2,-y+1/2,-z'
'-x+1/2,y+1/2,-z'
'x+1/2,-y+1/2,z'
loop_
_atom_site_label
_atom_site_type_symbol
_atom_site_fract_x
_atom_site_fract_y
_atom_site_fract_z
Pr1 Pr 0.000 0.000 0.000
Pr2 Pr 0.000 0.333 0.000
Nd1 Nd 0.000 0.500 0.500
Er1 Er 0.248 0.000 0.746
Er2 Er 0.249 0.333 0.746
Tm1 Tm 0.000 0.167 0.500
```

VASP energy in eV per atom: -4.60
Energy relative to the elements in eV per atom: 0.0227

***

La2PrHo5Sc after structural relaxation, computed with PBE.

```
data_La2PrHo5Sc
_chemical_formula_sum 'La8 Pr4 Ho20 Sc4'
_cell_length_a 5.621
_cell_length_b 19.766
_cell_length_c 10.546
_cell_angle_alpha 90.00
_cell_angle_beta 90.00
_cell_angle_gamma 90.00
_symmetry_space_group_name_H-M 'C m c 21'
_symmetry_Int_Tables_number 36
loop_
_symmetry_equiv_pos_as_xyz
'x,y,z'
'-x,-y,z+1/2'
'-x,y,z'
'x,-y,z+1/2'
'x+1/2,y+1/2,z'
'-x+1/2,-y+1/2,z+1/2'
'-x+1/2,y+1/2,z'
'x+1/2,-y+1/2,z+1/2'
loop_
_atom_site_label
_atom_site_type_symbol
_atom_site_fract_x
_atom_site_fract_y
_atom_site_fract_z
La1 La 0.000 0.114 0.000
La2 La 0.000 0.116 0.419
Pr1 Pr 0.000 0.413 0.148
Ho1 Ho 0.000 0.015 0.707
Ho2 Ho 0.000 0.277 0.008
Ho3 Ho 0.000 0.296 0.391
Ho4 Ho 0.000 0.376 0.705
Ho5 Ho 0.000 0.483 0.427
Sc1 Sc 0.000 0.199 0.700
```

VASP energy in eV per atom: -4.71
Energy relative to the elements in eV per atom: 0.1589

***

Cs3PaSn2S6 after structural relaxation, computed with PBE.

```
data_Cs3PaSn2S6
_chemical_formula_sum 'Cs6 Pa2 Sn4 S12'
_cell_length_a 7.413
_cell_length_b 12.805
_cell_length_c 8.270
_cell_angle_alpha 90.00
_cell_angle_beta 107.18
_cell_angle_gamma 90.00
_symmetry_space_group_name_H-M 'C 1 2/m 1'
_symmetry_Int_Tables_number 12
loop_
_symmetry_equiv_pos_as_xyz
'x,y,z'
'-x,-y,-z'
'-x,y,-z'
'x,-y,z'
'x+1/2,y+1/2,z'
'-x+1/2,-y+1/2,-z'
'-x+1/2,y+1/2,-z'
'x+1/2,-y+1/2,z'
loop_
_atom_site_label
_atom_site_type_symbol
_atom_site_fract_x
_atom_site_fract_y
_atom_site_fract_z
Cs1 Cs 0.000 0.000 0.000
Cs2 Cs 0.000 0.324 0.000
Pa1 Pa 0.000 0.500 0.500
Sn1 Sn 0.000 0.166 0.500
S1 S 0.213 0.347 0.682
S2 S 0.242 0.500 0.314
```

VASP energy in eV per atom: -4.88
Energy relative to the elements, uncorrected in meV/atom: -1144

***

Pm2Ho5Sc5 after structural relaxation, computed with PBE.

```
data_Pm2Ho5Sc5
_chemical_formula_sum 'Pm4 Ho10 Sc10'
_cell_length_a 14.598
_cell_length_b 4.823
_cell_length_c 10.920
_cell_angle_alpha 90.00
_cell_angle_beta 116.56
_cell_angle_gamma 90.00
_symmetry_space_group_name_H-M 'C 1 2/m 1'
_symmetry_Int_Tables_number 12
loop_
_symmetry_equiv_pos_as_xyz
'x,y,z'
'-x,-y,-z'
'-x,y,-z'
'x,-y,z'
'x+1/2,y+1/2,z'
'-x+1/2,-y+1/2,-z'
'-x+1/2,y+1/2,-z'
'x+1/2,-y+1/2,z'
loop_
_atom_site_label
_atom_site_type_symbol
_atom_site_fract_x
_atom_site_fract_y
_atom_site_fract_z
Pm1 Pm 0.082 0.000 0.252
Ho1 Ho 0.000 0.000 0.500
Ho2 Ho 0.165 0.000 0.998
Ho3 Ho 0.246 0.000 0.745
Sc1 Sc 0.000 0.500 0.000
Sc2 Sc 0.083 0.500 0.748
Sc3 Sc 0.167 0.500 0.501
```

VASP energy in eV per atom: -5.29
Energy relative to the elements in eV per atom: 0.0519

***

Tl12P3Se5 after structural relaxation, computed with PBE.

```
data_Tl12P3Se5
_chemical_formula_sum 'Tl96 P24 Se40'
_cell_length_a 17.593
_cell_length_b 17.593
_cell_length_c 17.593
_cell_angle_alpha 90.00
_cell_angle_beta 90.00
_cell_angle_gamma 90.00
_symmetry_space_group_name_H-M 'I a -3 d'
_symmetry_Int_Tables_number 230
_symmetry_space_group_name_Hall '-I 4bd 2c 3'
loop_
_atom_site_label
_atom_site_type_symbol
_atom_site_fract_x
_atom_site_fract_y
_atom_site_fract_z
Tl1 Tl 0.012 0.072 0.656
P1 P 0.000 0.250 0.125
Se1 Se 0.000 0.000 0.000
Se2 Se 0.000 0.250 0.375
```

VASP energy in eV per atom: -3.09
Energy relative to the elements, uncorrected in meV/atom: 13

***

TlAu2SI after structural relaxation, computed with PBE.

```
data_TlAu2SI
_chemical_formula_sum 'Tl1 Au2 S1 I1'
_cell_length_a 5.408
_cell_length_b 5.408
_cell_length_c 5.311
_cell_angle_alpha 90.00
_cell_angle_beta 90.00
_cell_angle_gamma 90.00
_symmetry_space_group_name_H-M 'P 4/m m m'
_symmetry_Int_Tables_number 123
_symmetry_space_group_name_Hall '-P 4 2'
loop_
_atom_site_label
_atom_site_type_symbol
_atom_site_fract_x
_atom_site_fract_y
_atom_site_fract_z
Tl1 Tl 0.000 0.000 0.000
Au1 Au 0.000 0.500 0.500
S1 S 0.500 0.500 0.000
I1 I 0.500 0.500 0.500
```

VASP energy in eV per atom: -2.40
Energy relative to the elements, uncorrected in meV/atom: 516

***

Rb3Y3TiS8 after structural relaxation, computed with PBE.

```
data_Rb3Y3TiS8
_chemical_formula_sum 'Rb9 Y9 Ti3 S24'
_cell_length_a 7.8850
_cell_length_b 7.8850
_cell_length_c 23.5046
_cell_angle_alpha 90.00
_cell_angle_beta 90.00
_cell_angle_gamma 120.00
_symmetry_space_group_name_H-M 'R -3 m'
_symmetry_Int_Tables_number 166
_symmetry_space_group_name_Hall '-R 3 2"'
loop_
_atom_site_label
_atom_site_type_symbol
_atom_site_fract_x
_atom_site_fract_y
_atom_site_fract_z
Rb1 Rb 0.0000 0.5000 0.0000
Y1 Y 0.0000 0.5000 0.5000
Ti1 Ti 0.0000 0.0000 0.5000
S1 S 0.0000 0.0000 0.2310
S2 S 0.0280 0.5140 0.2265
```

VASP energy in eV per atom: -5.94
Energy relative to the elements, uncorrected in meV/atom: -1724

***

La3ZrW after structural relaxation, computed with PBE.

```
data_La3ZrW
_chemical_formula_sum 'La3 Zr1 W1'
_cell_length_a 5.606
_cell_length_b 5.606
_cell_length_c 5.606
_cell_angle_alpha 90.00
_cell_angle_beta 90.00
_cell_angle_gamma 90.00
_symmetry_space_group_name_H-M 'P m -3 m'
_symmetry_Int_Tables_number 221
_symmetry_space_group_name_Hall '-P 4 2 3'
loop_
_atom_site_label
_atom_site_type_symbol
_atom_site_fract_x
_atom_site_fract_y
_atom_site_fract_z
La1 La 0.000 0.000 0.500
Zr1 Zr 0.000 0.000 0.000
W1 W 0.500 0.500 0.500
```

VASP energy in eV per atom: -5.85
ΔE to the lowest computed polymorph in meV/atom: 590
Energy relative to the elements in eV per atom: 1.4111

***

CrAu2C after structural relaxation, computed with PBE.

```
data_CrAu2C
_chemical_formula_sum 'Cr2 Au4 C2'
_cell_length_a 5.531
_cell_length_b 3.228
_cell_length_c 7.059
_cell_angle_alpha 90.00
_cell_angle_beta 105.43
_cell_angle_gamma 90.00
_symmetry_space_group_name_H-M 'C 1 m 1'
_symmetry_Int_Tables_number 8
loop_
_symmetry_equiv_pos_as_xyz
'x,y,z'
'x,-y,z'
'x+1/2,y+1/2,z'
'x+1/2,-y+1/2,z'
loop_
_atom_site_label
_atom_site_type_symbol
_atom_site_fract_x
_atom_site_fract_y
_atom_site_fract_z
Cr1 Cr 0.000 0.000 0.000
Au1 Au 0.045 0.500 0.637
Au2 Au 0.273 0.500 0.317
C1 C 0.150 0.500 0.957
```

VASP energy in eV per atom: -5.94
Energy relative to the elements in eV per atom: 0.4150

***

NaAcSeBr after structural relaxation, computed with PBE.

```
data_NaAcSeBr
_chemical_formula_sum 'Na4 Ac4 Se4 Br4'
_cell_length_a 7.633
_cell_length_b 7.633
_cell_length_c 7.633
_cell_angle_alpha 90.00
_cell_angle_beta 90.00
_cell_angle_gamma 90.00
_symmetry_space_group_name_H-M 'F -4 3 m'
_symmetry_Int_Tables_number 216
_symmetry_space_group_name_Hall 'F -4 2 3'
loop_
_atom_site_label
_atom_site_type_symbol
_atom_site_fract_x
_atom_site_fract_y
_atom_site_fract_z
Na1 Na 0.000 0.000 0.000
Ac1 Ac 0.000 0.000 0.500
Se1 Se 0.250 0.250 0.750
Br1 Br 0.250 0.250 0.250
```

VASP energy in eV per atom: -3.95
Energy relative to the elements, uncorrected in meV/atom: -1305

***

Ce3SnRh6 after structural relaxation, computed with PBE.

```
data_Ce3SnRh6
_chemical_formula_sum 'Ce6 Sn2 Rh12'
_cell_length_a 9.529
_cell_length_b 4.686
_cell_length_c 9.726
_cell_angle_alpha 90.00
_cell_angle_beta 117.80
_cell_angle_gamma 90.00
_symmetry_space_group_name_H-M 'P 1 21/m 1'
_symmetry_Int_Tables_number 11
loop_
_symmetry_equiv_pos_as_xyz
'x,y,z'
'-x,-y,-z'
'-x,y+1/2,-z'
'x,-y+1/2,z'
loop_
_atom_site_label
_atom_site_type_symbol
_atom_site_fract_x
_atom_site_fract_y
_atom_site_fract_z
Ce1 Ce 0.027 0.250 0.193
Ce2 Ce 0.247 0.250 0.758
Ce3 Ce 0.302 0.750 0.489
Sn1 Sn 0.362 0.750 0.033
Rh1 Rh 0.007 0.750 0.571
Rh2 Rh 0.173 0.750 0.165
Rh3 Rh 0.175 0.250 0.985
Rh4 Rh 0.349 0.250 0.326
Rh5 Rh 0.471 0.250 0.655
Rh6 Rh 0.471 0.750 0.826
```

VASP energy in eV per atom: -7.28
ΔE to the lowest computed polymorph in meV/atom: 0
Energy relative to the elements in eV per atom: -0.6894

***

LuPa2Ru after structural relaxation, computed with PBE.

```
data_LuPa2Ru
_chemical_formula_sum 'Lu3 Pa6 Ru3'
_cell_length_a 3.1611
_cell_length_b 3.1611
_cell_length_c 32.1090
_cell_angle_alpha 90.00
_cell_angle_beta 90.00
_cell_angle_gamma 120.00
_symmetry_space_group_name_H-M 'R -3 m'
_symmetry_Int_Tables_number 166
_symmetry_space_group_name_Hall '-R 3 2"'
loop_
_atom_site_label
_atom_site_type_symbol
_atom_site_fract_x
_atom_site_fract_y
_atom_site_fract_z
Lu1 Lu 0.0000 0.0000 0.0000
Pa1 Pa 0.0000 0.0000 0.0965
Ru1 Ru 0.0000 0.0000 0.5000
```

VASP energy in eV per atom: -8.03
ΔE to the lowest computed polymorph in meV/atom: 230
Energy relative to the elements in eV per atom: 0.1680

***

NaU3Tl4Se8 after structural relaxation, computed with PBE.

```
data_NaU3Tl4Se8
_chemical_formula_sum 'Na2 U6 Tl8 Se16'
_cell_length_a 14.656
_cell_length_b 8.461
_cell_length_c 9.151
_cell_angle_alpha 90.00
_cell_angle_beta 122.25
_cell_angle_gamma 90.00
_symmetry_space_group_name_H-M 'C 1 2/m 1'
_symmetry_Int_Tables_number 12
loop_
_symmetry_equiv_pos_as_xyz
'x,y,z'
'-x,-y,-z'
'-x,y,-z'
'x,-y,z'
'x+1/2,y+1/2,z'
'-x+1/2,-y+1/2,-z'
'-x+1/2,y+1/2,-z'
'x+1/2,-y+1/2,z'
loop_
_atom_site_label
_atom_site_type_symbol
_atom_site_fract_x
_atom_site_fract_y
_atom_site_fract_z
Na1 Na 0.000 0.000 0.000
U1 U 0.000 0.500 0.000
U2 U 0.250 0.250 0.000
Tl1 Tl 0.000 0.000 0.500
Tl2 Tl 0.000 0.500 0.500
Tl3 Tl 0.250 0.250 0.500
Se1 Se 0.019 0.262 0.797
Se2 Se 0.235 0.500 0.205
Se3 Se 0.244 0.000 0.204
```

VASP energy in eV per atom: -5.48
Energy relative to the elements, uncorrected in meV/atom: -945

***

GdSbIr after structural relaxation, computed with PBE.

```
data_GdSbIr
_chemical_formula_sum 'Gd4 Sb4 Ir4'
_cell_length_a 6.614
_cell_length_b 6.614
_cell_length_c 6.614
_cell_angle_alpha 90.00
_cell_angle_beta 90.00
_cell_angle_gamma 90.00
_symmetry_space_group_name_H-M 'F -4 3 m'
_symmetry_Int_Tables_number 216
_symmetry_space_group_name_Hall 'F -4 2 3'
loop_
_atom_site_label
_atom_site_type_symbol
_atom_site_fract_x
_atom_site_fract_y
_atom_site_fract_z
Gd1 Gd 0.000 0.000 0.000
Sb1 Sb 0.000 0.000 0.500
Ir1 Ir 0.250 0.250 0.250
```

VASP energy in eV per atom: -9.81
Energy relative to the elements, uncorrected in meV/atom: -790

***

K3Tl4Bi2 after structural relaxation, computed with PBE.

```
data_K3Tl4Bi2
_chemical_formula_sum 'K6 Tl8 Bi4'
_cell_length_a 13.342
_cell_length_b 5.049
_cell_length_c 10.670
_cell_angle_alpha 90.00
_cell_angle_beta 105.89
_cell_angle_gamma 90.00
_symmetry_space_group_name_H-M 'C 1 2/m 1'
_symmetry_Int_Tables_number 12
loop_
_symmetry_equiv_pos_as_xyz
'x,y,z'
'-x,-y,-z'
'-x,y,-z'
'x,-y,z'
'x+1/2,y+1/2,z'
'-x+1/2,-y+1/2,-z'
'-x+1/2,y+1/2,-z'
'x+1/2,-y+1/2,z'
loop_
_atom_site_label
_atom_site_type_symbol
_atom_site_fract_x
_atom_site_fract_y
_atom_site_fract_z
K1 K 0.000 0.000 0.000
K2 K 0.192 0.500 0.622
Tl1 Tl 0.010 0.000 0.657
Tl2 Tl 0.236 0.000 0.898
Bi1 Bi 0.100 0.500 0.261
```

VASP energy in eV per atom: -2.47
ΔE to the lowest computed polymorph in meV/atom: 9
Energy relative to the elements in eV per atom: -0.1938